# 1
Compound: AcFeB4
Source: OQMD
Functional: PBE
Structure: relaxed

Results
total magnetic moment: 0.01 Bohr magnetons per cell
uncorrected energy: -36.51 eV for the cell shown

Unit cell a=5.216 b=5.216 c=5.216 alpha=144.82 beta=117.63 gamma=73.68
Positions (direct):
Ac 0.000 0.000 0.000
Fe 0.500 0.500 0.000
B 0.094 0.756 0.338
B 0.418 0.756 0.662
B 0.582 0.244 0.338
B 0.906 0.244 0.662

---

# 2
Compound: AcGdB
Source: OQMD
Functional: PBE
Structure: relaxed

Results
total magnetic moment: 0.31 Bohr magnetons per cell
uncorrected energy: -14.54 eV for the cell shown

Unit cell a=4.789 b=4.789 c=4.789 alpha=60.00 beta=60.00 gamma=60.00
Positions (direct):
Ac 0.000 0.000 0.000
Gd 0.500 0.500 0.500
B 0.250 0.250 0.250

---

# 3
Compound: AcGdB4
Source: OQMD
Functional: PBE
Structure: relaxed

Results
total magnetic moment: 0.02 Bohr magnetons per cell
uncorrected energy: -36.29 eV for the cell shown

Unit cell a=5.399 b=5.399 c=5.399 alpha=143.52 beta=115.56 gamma=76.38
Positions (direct):
Ac 0.000 0.000 0.000
Gd 0.500 0.500 0.000
B 0.089 0.752 0.336
B 0.416 0.752 0.664
B 0.584 0.248 0.336
B 0.911 0.248 0.664

---

# 4
Compound: AcGdB4
Source: OQMD
Functional: PBE
Structure: relaxed

Results
total magnetic moment: 0.00 Bohr magnetons per cell
uncorrected energy: -36.70 eV for the cell shown

Unit cell a=3.347 b=3.347 c=8.457 alpha=90.00 beta=90.00 gamma=120.00
Positions (direct):
Ac 0.000 0.000 0.000
Gd 0.000 0.000 0.500
B 0.333 0.667 0.272
B 0.333 0.667 0.728
B 0.667 0.333 0.272
B 0.667 0.333 0.728

---

# 5
Compound: AcHfB4
Source: OQMD
Functional: PBE
Structure: relaxed

Results
total magnetic moment: 0.00 Bohr magnetons per cell
uncorrected energy: -41.65 eV for the cell shown

Unit cell a=5.245 b=5.245 c=5.245 alpha=143.71 beta=113.60 gamma=78.09
Positions (direct):
Ac 0.000 0.000 0.000
Hf 0.500 0.500 0.000
B 0.093 0.756 0.337
B 0.420 0.756 0.663
B 0.580 0.244 0.337
B 0.907 0.244 0.663

---

# 6
Compound: AcHfB4
Source: OQMD
Functional: PBE
Structure: relaxed

Results
total magnetic moment: 0.00 Bohr magnetons per cell
uncorrected energy: -43.66 eV for the cell shown

Unit cell a=3.247 b=3.247 c=8.084 alpha=90.00 beta=90.00 gamma=120.00
Positions (direct):
Ac 0.000 0.000 0.000
Hf 0.000 0.000 0.500
B 0.333 0.667 0.292
B 0.333 0.667 0.708
B 0.667 0.333 0.292
B 0.667 0.333 0.708

---

# 7
Compound: AcHgB
Source: OQMD
Functional: PBE
Structure: relaxed

Results
total magnetic moment: 0.00 Bohr magnetons per cell
uncorrected energy: -10.61 eV for the cell shown

Unit cell a=4.707 b=4.707 c=4.707 alpha=60.00 beta=60.00 gamma=60.00
Positions (direct):
Ac 0.000 0.000 0.000
Hg 0.500 0.500 0.500
B 0.250 0.250 0.250

---

# 8
Compound: AcHgB4
Source: OQMD
Functional: PBE
Structure: relaxed

Results
total magnetic moment: 0.01 Bohr magnetons per cell
uncorrected energy: -28.04 eV for the cell shown

Unit cell a=3.290 b=3.290 c=8.460 alpha=90.00 beta=90.00 gamma=120.00
Positions (direct):
Ac 0.000 0.000 0.000
Hg 0.000 0.000 0.500
B 0.333 0.667 0.263
B 0.333 0.667 0.737
B 0.667 0.333 0.263
B 0.667 0.333 0.737

---

# 9
Compound: AcHgB4
Source: OQMD
Functional: PBE
Structure: relaxed

Results
total magnetic moment: 0.00 Bohr magnetons per cell
uncorrected energy: -29.43 eV for the cell shown

Unit cell a=5.693 b=5.693 c=5.693 alpha=146.96 beta=121.18 gamma=69.15
Positions (direct):
Ac 0.000 0.000 0.000
Hg 0.500 0.500 0.000
B 0.052 0.740 0.312
B 0.428 0.740 0.688
B 0.572 0.260 0.312
B 0.948 0.260 0.688

---

# 10
Compound: AcHgB
Source: OQMD
Functional: PBE
Structure: relaxed

Results
total magnetic moment: 0.00 Bohr magnetons per cell
uncorrected energy: -8.91 eV for the cell shown

Unit cell a=4.886 b=4.886 c=4.886 alpha=60.00 beta=60.00 gamma=60.00
Positions (direct):
Ac 0.000 0.000 0.000
Hg 0.250 0.250 0.250
B 0.500 0.500 0.500

---

# 11
Compound: AcHoB4
Source: OQMD
Functional: PBE
Structure: relaxed

Results
total magnetic moment: 0.02 Bohr magnetons per cell
uncorrected energy: -36.27 eV for the cell shown

Unit cell a=5.369 b=5.369 c=5.369 alpha=143.54 beta=115.22 gamma=76.68
Positions (direct):
Ac 0.000 0.000 0.000
Ho 0.500 0.500 0.000
B 0.089 0.753 0.336
B 0.417 0.753 0.664
B 0.583 0.247 0.336
B 0.911 0.247 0.664

---

# 12
Compound: AcHoB4
Source: OQMD
Functional: PBE
Structure: relaxed

Results
total magnetic moment: 0.01 Bohr magnetons per cell
uncorrected energy: -36.92 eV for the cell shown

Unit cell a=3.328 b=3.328 c=8.386 alpha=90.00 beta=90.00 gamma=120.00
Positions (direct):
Ac 0.000 0.000 0.000
Ho 0.000 0.000 0.500
B 0.333 0.667 0.276
B 0.333 0.667 0.724
B 0.667 0.333 0.276
B 0.667 0.333 0.724

---

# 13
Compound: Ac3HoB4
Source: OQMD
Functional: PBE
Structure: relaxed

Results
total magnetic moment: 0.03 Bohr magnetons per cell
uncorrected energy: -38.82 eV for the cell shown

Unit cell a=5.711 b=5.711 c=5.711 alpha=90.00 beta=90.00 gamma=90.00
Positions (direct):
Ac 0.000 0.000 0.500
Ac 0.000 0.500 0.000
Ac 0.500 0.000 0.000
Ho 0.500 0.500 0.500
B 0.000 0.000 0.000
B 0.000 0.500 0.500
B 0.500 0.000 0.500
B 0.500 0.500 0.000

---

# 14
Compound: Ac2B4Ir5
Source: OQMD
Functional: PBE
Structure: relaxed

Results
total magnetic moment: 0.00 Bohr magnetons per cell
uncorrected energy: -86.20 eV for the cell shown

Unit cell a=7.728 b=6.387 c=5.894 alpha=77.88 beta=53.90 gamma=48.21
Positions (direct):
Ac 0.145 0.145 0.855
Ac 0.855 0.855 0.145
B 0.209 0.534 0.466
B 0.466 0.791 0.209
B 0.534 0.209 0.791
B 0.791 0.466 0.534
Ir 0.000 0.000 0.500
Ir 0.250 0.250 0.250
Ir 0.500 0.500 0.000
Ir 0.500 0.500 0.500
Ir 0.750 0.750 0.750

---

# 15
Compound: AcBIr
Source: OQMD
Functional: PBE
Structure: relaxed

Results
total magnetic moment: 0.00 Bohr magnetons per cell
uncorrected energy: -18.36 eV for the cell shown

Unit cell a=4.448 b=4.448 c=4.448 alpha=60.00 beta=60.00 gamma=60.00
Positions (direct):
Ac 0.000 0.000 0.000
B 0.250 0.250 0.250
Ir 0.500 0.500 0.500

---

# 16
Compound: AcBIr
Source: OQMD
Functional: PBE
Structure: relaxed

Results
total magnetic moment: 0.01 Bohr magnetons per cell
uncorrected energy: -15.94 eV for the cell shown

Unit cell a=4.727 b=4.727 c=4.727 alpha=60.00 beta=60.00 gamma=60.00
Positions (direct):
Ac 0.000 0.000 0.000
B 0.750 0.750 0.750
Ir 0.250 0.250 0.250

---

# 17
Compound: AcB6Ir12
Source: OQMD
Functional: PBE
Structure: relaxed

Results
total magnetic moment: 0.03 Bohr magnetons per cell
uncorrected energy: -156.14 eV for the cell shown

Unit cell a=6.569 b=6.569 c=6.569 alpha=103.84 beta=103.84 gamma=103.84
Positions (direct):
Ac 0.000 0.000 0.000
B 0.228 0.228 0.661
B 0.228 0.661 0.228
B 0.339 0.772 0.772
B 0.661 0.228 0.228
B 0.772 0.339 0.772
B 0.772 0.772 0.339
Ir 0.135 0.500 0.865
Ir 0.135 0.865 0.500
Ir 0.186 0.449 0.449
Ir 0.449 0.186 0.449
Ir 0.449 0.449 0.186
Ir 0.500 0.135 0.865
Ir 0.500 0.865 0.135
Ir 0.551 0.551 0.814
Ir 0.551 0.814 0.551
Ir 0.814 0.551 0.551
Ir 0.865 0.135 0.500
Ir 0.865 0.500 0.135

---

# 18
Compound: AcB4Ir
Source: OQMD
Functional: PBE
Structure: relaxed

Results
total magnetic moment: 0.00 Bohr magnetons per cell
uncorrected energy: -38.89 eV for the cell shown

Unit cell a=3.311 b=3.311 c=7.331 alpha=90.00 beta=90.00 gamma=120.00
Positions (direct):
Ac 0.000 0.000 0.000
B 0.333 0.667 0.306
B 0.333 0.667 0.694
B 0.667 0.333 0.306
B 0.667 0.333 0.694
Ir 0.000 0.000 0.500

---

# 19
Compound: AcB4Ir
Source: OQMD
Functional: PBE
Structure: relaxed

Results
total magnetic moment: 0.01 Bohr magnetons per cell
uncorrected energy: -37.80 eV for the cell shown

Unit cell a=5.366 b=5.366 c=5.366 alpha=146.54 beta=118.64 gamma=71.72
Positions (direct):
Ac 0.000 0.000 0.000
B 0.098 0.758 0.340
B 0.418 0.758 0.660
B 0.582 0.242 0.340
B 0.902 0.242 0.660
Ir 0.500 0.500 0.000

---

# 20
Compound: AcB4Mo
Source: OQMD
Functional: PBE
Structure: relaxed

Results
total magnetic moment: 0.00 Bohr magnetons per cell
uncorrected energy: -42.66 eV for the cell shown

Unit cell a=3.182 b=3.182 c=7.812 alpha=90.00 beta=90.00 gamma=120.00
Positions (direct):
Ac 0.000 0.000 0.000
B 0.333 0.667 0.296
B 0.333 0.667 0.704
B 0.667 0.333 0.296
B 0.667 0.333 0.704
Mo 0.000 0.000 0.500